Entry from the Alexandria database: a geometry-optimized KCdB3O6 structure (PBEsol).

Unit cell a=7.5529 b=7.5529 c=12.4875 alpha=97.82 beta=97.82 gamma=123.12
With the nearest neighbours (Å) after each atom.
Sites, in units of the cell vectors:
K  0.1636  0.6796  0.8684  6 O 2.72-2.97
K  0.3204  0.8364  0.6316  6 O 2.72-2.97
K  0.6796  0.1636  0.3684  6 O 2.72-2.97
K  0.8364  0.3204  0.1316  6 O 2.72-2.97
Cd  0.3734  0.5212  0.3774  5 O 2.16-2.37
Cd  0.4788  0.6266  0.1226  5 O 2.16-2.37
Cd  0.5212  0.3734  0.8774  5 O 2.16-2.37
Cd  0.6266  0.4788  0.6226  5 O 2.16-2.37
B  0.0693  0.6828  0.3737  3 O 1.33-1.41
B  0.0772  0.2354  0.9121  3 O 1.34-1.40
B  0.1609  0.1838  0.6565  3 O 1.34-1.40
B  0.1838  0.1609  0.1565  3 O 1.34-1.40
B  0.2354  0.0772  0.4121  3 O 1.34-1.40
B  0.3172  0.9307  0.1263  3 O 1.33-1.41
B  0.6828  0.0693  0.8737  3 O 1.33-1.41
B  0.7646  0.9228  0.5879  3 O 1.34-1.40
B  0.8162  0.8391  0.8435  3 O 1.34-1.40
B  0.8391  0.8162  0.3435  3 O 1.34-1.40
B  0.9228  0.7646  0.0879  3 O 1.34-1.40
B  0.9307  0.3172  0.6263  3 O 1.33-1.41
O  0.0276  0.0313  0.3792  2 B 1.39-1.40
O  0.0313  0.0276  0.8792  2 B 1.39-1.40
O  0.0818  0.5137  0.3709  1 B 1.33
O  0.0982  0.7468  0.0865  2 B 1.40-1.41
O  0.1344  0.3539  0.6638  2 B 1.40
O  0.2213  0.3588  0.1832  1 B 1.34
O  0.2532  0.9018  0.4135  2 B 1.40-1.41
O  0.2824  0.4164  0.9384  1 B 1.34
O  0.3539  0.1344  0.1638  2 B 1.40
O  0.3588  0.2213  0.6832  1 B 1.34
O  0.4164  0.2824  0.4384  1 B 1.34
O  0.4863  0.9182  0.1291  1 B 1.33
O  0.5137  0.0818  0.8709  1 B 1.33
O  0.5836  0.7176  0.5616  1 B 1.34
O  0.6412  0.7787  0.3168  1 B 1.34
O  0.6461  0.8656  0.8362  2 B 1.40
O  0.7176  0.5836  0.0616  1 B 1.34
O  0.7468  0.0982  0.5865  2 B 1.40-1.41
O  0.7787  0.6412  0.8168  1 B 1.34
O  0.8656  0.6461  0.3362  2 B 1.40
O  0.9018  0.2532  0.9135  2 B 1.40-1.41
O  0.9182  0.4863  0.6291  1 B 1.33
O  0.9687  0.9724  0.1208  2 B 1.39-1.40
O  0.9724  0.9687  0.6208  2 B 1.39-1.40

formation energy without anion corrections	-2.166	eV/atom
final energy	-7.1543	eV/atom

Entry from the Alexandria database: a geometry-optimized MnP2WCl structure (PBEsol).

Unit cell a=4.6709 b=4.6709 c=4.7432 alpha=90.00 beta=90.00 gamma=90.00
With the nearest neighbours (Å) after each atom.
Sites, in units of the cell vectors:
Mn  0.0000  0.0000  0.0000  4 Cl 3.30, 8 P 3.33
P  0.0000  0.5000  0.5000  2 W 2.34
P  0.5000  0.0000  0.5000  2 W 2.34
W  0.5000  0.5000  0.5000  4 P 2.34, 2 Cl 2.37
Cl  0.5000  0.5000  0.0000  2 W 2.37

formation energy without anion corrections	0.662	eV/atom
final energy	-6.7699	eV/atom

Entry from the Alexandria database: a geometry-optimized KTl2Cd2 structure (PBEsol).

Unit cell a=9.2593 b=9.2593 c=3.2547 alpha=90.00 beta=90.00 gamma=90.00
With the nearest neighbours (Å) after each atom.
Sites, in units of the cell vectors:
K  0.0000  0.0000  0.0000  2 K 3.25, 4 Tl 3.56
K  0.5000  0.5000  0.0000  2 K 3.25, 4 Tl 3.56
Tl  0.1427  0.3573  0.0000  6 Cd 3.16-3.17, 2 Tl 3.25
Tl  0.3573  0.8573  0.0000  6 Cd 3.16-3.17, 2 Tl 3.25
Tl  0.6427  0.1427  0.0000  6 Cd 3.16-3.17, 2 Tl 3.25
Tl  0.8573  0.6427  0.0000  6 Cd 3.16-3.17, 2 Tl 3.25
Cd  0.1506  0.6506  0.5000  6 Tl 3.16-3.17, 2 Cd 3.25
Cd  0.3494  0.1506  0.5000  6 Tl 3.16-3.17, 2 Cd 3.25
Cd  0.6506  0.8494  0.5000  6 Tl 3.16-3.17, 2 Cd 3.25
Cd  0.8494  0.3494  0.5000  6 Tl 3.16-3.17, 2 Cd 3.25

E above lowest polymorph	6	meV/atom
final energy	-1.7815	eV/atom
formation energy from the elements	-24	meV per atom

Entry from the Alexandria database: a geometry-optimized CrRuCl structure (PBEsol).

Unit cell a=2.7894 b=2.7894 c=5.9577 alpha=90.00 beta=90.00 gamma=120.00
With the nearest neighbours (Å) after each atom.
Sites, in units of the cell vectors:
Cr  0.0000  0.0000  0.0000  3 Cl 2.36, 3 Ru 2.46
Ru  0.3333  0.6667  0.6872  3 Cr 2.46
Cl  0.6667  0.3333  0.2887  3 Cr 2.36

formation energy without anion corrections	0.188	eV/atom
final energy	-7.2862	eV/atom

Entry from the Alexandria database: a geometry-optimized Sr2TcPt structure (PBEsol).

Unit cell a=8.5617 b=8.5617 c=8.5617 alpha=28.90 beta=28.90 gamma=28.90
With the nearest neighbours (Å) after each atom.
Sites, in units of the cell vectors:
Sr  0.0000  0.0000  0.0000  3 Pt 3.26, 3 Tc 3.26
Sr  0.1729  0.1729  0.1729  3 Tc 3.25, 3 Pt 3.26
Tc  0.7533  0.7533  0.7533  3 Pt 2.47
Pt  0.4197  0.4197  0.4197  3 Tc 2.47

E above lowest polymorph	0	meV/atom
final energy	-5.4672	eV/atom
formation energy from the elements	10	meV per atom

Entry from the Alexandria database: a geometry-optimized Cd7Pb6 structure (PBEsol).

Unit cell a=11.6044 b=11.6044 c=11.6044 alpha=29.11 beta=29.11 gamma=29.11
With the nearest neighbours (Å) after each atom.
Sites, in units of the cell vectors:
Cd  0.0000  0.0000  0.0000  6 Cd 3.04, 6 Pb 3.40
Cd  0.0919  0.0919  0.5890  5 Cd 2.90-3.04, 2 Pb 3.24
Cd  0.0919  0.5890  0.0919  5 Cd 2.90-3.04, 2 Pb 3.24
Cd  0.4110  0.9081  0.9081  5 Cd 2.90-3.04, 2 Pb 3.24
Cd  0.5890  0.0919  0.0919  5 Cd 2.90-3.04, 2 Pb 3.24
Cd  0.9081  0.4110  0.9081  5 Cd 2.90-3.04, 2 Pb 3.24
Cd  0.9081  0.9081  0.4110  5 Cd 2.90-3.04, 2 Pb 3.24
Pb  0.1655  0.1655  0.1655  9 Pb 3.37-3.75, 6 Cd 3.44-3.49
Pb  0.3474  0.3474  0.3474  12 Cd 3.40-3.57, 4 Pb 3.46-3.49
Pb  0.4514  0.4514  0.4514  6 Cd 3.24, 2 Pb 3.24-3.46
Pb  0.5486  0.5486  0.5486  6 Cd 3.24, 2 Pb 3.24-3.46
Pb  0.6526  0.6526  0.6526  12 Cd 3.40-3.57, 4 Pb 3.46-3.49
Pb  0.8345  0.8345  0.8345  9 Pb 3.37-3.75, 6 Cd 3.44-3.49

final energy	-2.4694	eV/atom
formation energy from the elements	21	meV per atom

Question: final energy of number 1 (KCdB3O6)?
Answer: -7.1543 eV/atom